Version a
Density functional theory data (PBE) for a geometry-optimized PrDyAlGa structure.

Structure (extended XYZ):
```
4
Lattice="-2.395 -3.777 -2.625 -1.690 -4.221 2.494 -5.088 -0.774 0.633" Properties=species:S:1:pos:R:3 pbc="T T T"
Pr -6.880 -6.579 0.377
Al -4.587 -4.386 0.251
Ga 0.000 0.000 0.000
Dy -2.293 -2.193 0.126
```

Results
Fermi-level density of states   1.32 states/eV/f.u.
SG   F-43m (216)
Magnetic moment   0.000 μB/atom

Version b
Density functional theory data (PBE) for a geometry-optimized PrDyAlGa structure.

Structure (extended XYZ):
```
4
Lattice="4.467 0.000 0.000 0.000 4.169 0.000 -2.234 0.000 5.630" Properties=species:S:1:pos:R:3 pbc="T T T"
Pr 0.000 0.000 1.595
Dy 2.234 2.085 4.052
Al 0.000 0.000 4.821
Ga 2.234 2.085 0.791
```

Results
Fermi-level density of states   3.88 states/eV/f.u.
SG   Amm2 (38)
Magnetic moment   0.000 μB/atom

Which structure is most stable? version b, by 2.7 kJ/mol of atoms over the runner-up.

Version a
Density functional theory data (PBE) for a geometry-optimized SmDyAlGa structure.

Structure (extended XYZ):
```
4
Lattice="-5.001 0.937 0.658 -3.420 -1.862 -3.340 -3.157 -3.792 1.406" Properties=species:S:1:pos:R:3 pbc="T T T"
Al -8.683 -3.537 -0.957
Ga -2.894 -1.179 -0.319
Sm -5.789 -2.358 -0.638
Dy 0.000 0.000 0.000
```

Results
Fermi-level density of states   1.41 states/eV/f.u.
SG   F-43m (216)
Magnetic moment   0.000 μB/atom

Version b
Density functional theory data (PBE) for a geometry-optimized SmDyAlGa structure.

Structure (extended XYZ):
```
4
Lattice="4.446 0.000 0.000 0.000 4.115 0.000 -2.223 0.000 5.574" Properties=species:S:1:pos:R:3 pbc="T T T"
Sm 0.000 0.000 1.559
Dy 2.223 2.057 3.999
Al 0.000 0.000 4.767
Ga 2.223 2.057 0.823
```

Results
Fermi-level density of states   3.82 states/eV/f.u.
SG   Amm2 (38)
Magnetic moment   0.000 μB/atom

Which structure is most stable? version b, by 2.4 kJ/mol of atoms over the runner-up.

Version a
Density functional theory data (PBE) for a geometry-optimized TbDyAlGa structure.

Structure (extended XYZ):
```
4
Lattice="-2.676 1.994 2.892 -2.903 0.235 -2.848 -0.615 -5.916 0.139" Properties=species:S:1:pos:R:3 pbc="T T T"
Tb -4.201 -2.440 1.168
Dy -0.555 -1.397 0.450
Al -3.074 0.399 0.253
Ga -1.656 -4.170 1.344
```

Results
Fermi-level density of states   3.54 states/eV/f.u.
SG   Amm2 (38)
Magnetic moment   0.000 μB/atom

Version b
Density functional theory data (PBE) for a geometry-optimized TbDyAlGa structure.

Structure (extended XYZ):
```
4
Lattice="-2.943 1.607 -3.825 -3.514 -3.099 -1.981 -4.939 0.913 0.801" Properties=species:S:1:pos:R:3 pbc="T T T"
Tb -5.698 -0.289 -2.503
Al -8.547 -0.434 -3.754
Ga -2.849 -0.145 -1.251
Dy 0.000 0.000 0.000
```

Results
Fermi-level density of states   1.45 states/eV/f.u.
SG   F-43m (216)
Magnetic moment   0.000 μB/atom

Which structure is most stable? version a, by 2.6 kJ/mol of atoms over the runner-up.

Version a
Density functional theory data (PBE) for a geometry-optimized DyTmAlGa structure.

Structure (extended XYZ):
```
4
Lattice="4.381 0.000 0.000 0.000 4.040 0.000 -2.191 0.000 5.457" Properties=species:S:1:pos:R:3 pbc="T T T"
Dy 0.000 0.000 1.515
Tm 2.191 2.020 3.912
Al 0.000 0.000 4.646
Ga 2.191 2.020 0.841
```

Results
Fermi-level density of states   3.04 states/eV/f.u.
SG   Amm2 (38)
Magnetic moment   0.000 μB/atom

Version b
Density functional theory data (PBE) for a geometry-optimized DyTmAlGa structure.

Structure (extended XYZ):
```
4
Lattice="-2.719 -4.144 -0.949 -1.692 -2.837 3.816 -4.928 -0.089 1.086" Properties=species:S:1:pos:R:3 pbc="T T T"
Tm -4.669 -3.535 1.976
Al -7.004 -5.302 2.964
Ga -2.335 -1.767 0.988
Dy 0.000 0.000 0.000
```

Results
Fermi-level density of states   1.28 states/eV/f.u.
SG   F-43m (216)
Magnetic moment   0.000 μB/atom

Which structure is most stable? version a, by 3.0 kJ/mol of atoms over the runner-up.

Version a
Density functional theory data (PBE) for a geometry-optimized DyYAlGa structure.

Structure (extended XYZ):
```
4
Lattice="5.082 0.000 0.000 2.541 4.401 0.000 2.541 1.467 4.149" Properties=species:S:1:pos:R:3 pbc="T T T"
Y 7.623 4.401 3.112
Al 5.082 2.934 2.075
Ga 0.000 0.000 0.000
Dy 2.541 1.467 1.037
```

Results
Fermi-level density of states   1.46 states/eV/f.u.
SG   F-43m (216)
Magnetic moment   0.000 μB/atom

Version b
Density functional theory data (PBE) for a geometry-optimized DyYAlGa structure.

Structure (extended XYZ):
```
4
Lattice="4.405 0.000 0.000 0.000 4.072 0.000 -2.202 0.000 5.512" Properties=species:S:1:pos:R:3 pbc="T T T"
Dy 0.000 0.000 1.567
Y 2.202 2.036 3.984
Al 2.202 2.036 0.804
Ga 0.000 0.000 4.670
```

Results
Fermi-level density of states   3.43 states/eV/f.u.
SG   Amm2 (38)
Magnetic moment   0.000 μB/atom

Which structure is most stable? version b, by 3.7 kJ/mol of atoms over the runner-up.

Version a
Density functional theory data (PBE) for a geometry-optimized DyAlZnGa structure.

Structure (extended XYZ):
```
4
Lattice="-3.947 -0.368 -2.643 -3.831 -2.237 1.738 -3.889 2.492 1.166" Properties=species:S:1:pos:R:3 pbc="T T T"
Zn 0.000 0.000 0.000
Al -2.917 -0.028 0.065
Ga -5.833 -0.057 0.130
Dy -8.750 -0.085 0.196
```

Results
Fermi-level density of states   1.44 states/eV/f.u.
SG   F-43m (216)
Magnetic moment   0.000 μB/atom

Version b
Density functional theory data (PBE) for a geometry-optimized DyAlZnGa structure.

Structure (extended XYZ):
```
4
Lattice="3.374 0.000 0.000 0.000 5.133 0.000 0.000 0.000 5.019" Properties=species:S:1:pos:R:3 pbc="T T T"
Dy 1.687 2.567 2.510
Al 0.000 0.000 0.000
Zn 0.000 0.000 2.510
Ga 0.000 2.567 0.000
```

Results
Fermi-level density of states   2.00 states/eV/f.u.
SG   Pmmm (47)
Magnetic moment   0.000 μB/atom

Which structure is most stable? version a, by 19.4 kJ/mol of atoms over the runner-up.